A geometry-optimized RbInSi structure, computed with PBE.

```
data_RbInSi
_cell_length_a 8.8280
_cell_length_b 8.7481
_cell_length_c 6.9632
_cell_angle_alpha 90.00
_cell_angle_beta 125.97
_cell_angle_gamma 90.00
_space_group_name_H-M_alt 'C 1 2 1'
_space_group_IT_number 5
loop_
_space_group_symop_operation_xyz
'x,y,z'
'-x,y,-z'
'x+1/2,y+1/2,z'
'-x+1/2,y+1/2,-z'
loop_
_atom_site_label
_atom_site_fract_x
_atom_site_fract_y
_atom_site_fract_z
_atom_site_occupancy
Rb1 0.1851 0.0000 0.3886 1
In1 0.1453 0.6577 0.9659 1
Si1 0.1172 0.3574 0.9702 1
```

energy relative to the elements, uncorrected = 59 meV/atom
calculated volume = 36.268 Å³/atom
crystal system = monoclinic

=====

A geometry-optimized PmNdCo2 structure, computed with PBE.

```
data_PmNdCo2
_cell_length_a 3.9289
_cell_length_b 4.0397
_cell_length_c 11.0374
_cell_angle_alpha 90.00
_cell_angle_beta 90.00
_cell_angle_gamma 90.00
_space_group_name_H-M_alt 'A m m 2'
_space_group_IT_number 38
loop_
_space_group_symop_operation_xyz
'x,y,z'
'-x,-y,z'
'-x,y,z'
'x,-y,z'
'x,y+1/2,z+1/2'
'-x,-y+1/2,z+1/2'
'-x,y+1/2,z+1/2'
'x,-y+1/2,z+1/2'
loop_
_atom_site_label
_atom_site_fract_x
_atom_site_fract_y
_atom_site_fract_z
_atom_site_occupancy
Pm1 0.0000 0.0000 0.0000 1
Nd1 0.5000 0.0000 0.7180 1
Co1 0.0000 0.0000 0.3063 1
Co2 0.5000 0.0000 0.4153 1
```

energy relative to the elements = -0.076 eV/atom
calculated volume = 21.898 Å³/atom
E above lowest polymorph = 0 meV per atom
crystal system = orthorhombic